(1)
# NiPOsCl2 | the Alexandria database | PBE | relaxed
# **Formation energy (no corrections)**: 425.0 kJ/mol of formula units
# **Energy**: -21.71 eV for the cell shown
# **Energy above the most stable polymorph in this dataset**: 0 meV per atom
data_NiPOsCl2
_chemical_formula_sum 'Ni1 P1 Os1 Cl2'
_symmetry_space_group_name_H-M 'P 4/m m m'
_symmetry_Int_Tables_number 123
_symmetry_space_group_name_Hall '-P 4 2'
_cell_length_a 4.9105
_cell_length_b 4.9105
_cell_length_c 4.4627
_cell_angle_alpha 90.00
_cell_angle_beta 90.00
_cell_angle_gamma 90.00
loop_
_atom_site_label
_atom_site_type_symbol
_atom_site_fract_x
_atom_site_fract_y
_atom_site_fract_z
Ni1 Ni 0.0000 0.0000 0.0000
P1 P 0.5000 0.5000 0.0000
Os1 Os 0.5000 0.5000 0.5000
Cl1 Cl 0.0000 0.5000 0.5000

---

(2)
# Hf4RuO | the Alexandria database | PBE | relaxed
# **Formation energy (no corrections)**: -545.3 kJ/mol of formula units
# **Energy**: -119.40 eV for the cell shown
data_Hf4RuO
_chemical_formula_sum 'Hf8 Ru2 O2'
_symmetry_space_group_name_H-M 'P 1 21/c 1'
_symmetry_Int_Tables_number 14
_cell_length_a 5.8298
_cell_length_b 5.9267
_cell_length_c 6.3593
_cell_angle_alpha 90.00
_cell_angle_beta 101.47
_cell_angle_gamma 90.00
loop_
_symmetry_equiv_pos_as_xyz
'x,y,z'
'-x,-y,-z'
'-x,y+1/2,-z+1/2'
'x,-y+1/2,z+1/2'
loop_
_atom_site_label
_atom_site_type_symbol
_atom_site_fract_x
_atom_site_fract_y
_atom_site_fract_z
Hf1 Hf 0.1101 0.1513 0.1884
Hf2 Hf 0.3388 0.6433 0.1195
Ru1 Ru 0.5000 0.0000 0.0000
O1 O 0.0000 0.0000 0.5000

---

(3)
# Ca2PrGa | the Alexandria database | PBE | relaxed
# **ΔH_f (0 K)**: -0.1705 eV per atom
# **Energy**: -12.49 eV for the cell shown
# **Energy above the most stable polymorph in this dataset**: 45 meV per atom
data_Ca2PrGa
_chemical_formula_sum 'Ca2 Pr1 Ga1'
_symmetry_space_group_name_H-M 'P 4/m m m'
_symmetry_Int_Tables_number 123
_symmetry_space_group_name_Hall '-P 4 2'
_cell_length_a 4.8222
_cell_length_b 4.8222
_cell_length_c 5.2395
_cell_angle_alpha 90.00
_cell_angle_beta 90.00
_cell_angle_gamma 90.00
loop_
_atom_site_label
_atom_site_type_symbol
_atom_site_fract_x
_atom_site_fract_y
_atom_site_fract_z
Ca1 Ca 0.0000 0.5000 0.0000
Pr1 Pr 0.0000 0.0000 0.5000
Ga1 Ga 0.5000 0.5000 0.5000

---

(4)
# CdTc4Os | the Alexandria database | PBE | relaxed
# **ΔH_f (0 K)**: 0.5007 eV per atom
# **Energy**: -202.42 eV for the cell shown
data_CdTc4Os
_chemical_formula_sum 'Cd4 Tc16 Os4'
_symmetry_space_group_name_H-M 'F -4 3 m'
_symmetry_Int_Tables_number 216
_symmetry_space_group_name_Hall 'F -4 2 3'
_cell_length_a 7.2505
_cell_length_b 7.2505
_cell_length_c 7.2505
_cell_angle_alpha 90.00
_cell_angle_beta 90.00
_cell_angle_gamma 90.00
loop_
_atom_site_label
_atom_site_type_symbol
_atom_site_fract_x
_atom_site_fract_y
_atom_site_fract_z
Cd1 Cd 0.0000 0.0000 0.0000
Tc1 Tc 0.1258 0.1258 0.3742
Os1 Os 0.2500 0.2500 0.7500

---

(5)
# AcNiGeSb | the Alexandria database | PBE | relaxed
# **Formation energy (no corrections)**: -52.2 kJ/mol of formula units
# **Energy**: -76.68 eV for the cell shown
data_AcNiGeSb
_chemical_formula_sum 'Ac4 Ni4 Ge4 Sb4'
_symmetry_space_group_name_H-M 'F -4 3 m'
_symmetry_Int_Tables_number 216
_symmetry_space_group_name_Hall 'F -4 2 3'
_cell_length_a 7.2127
_cell_length_b 7.2127
_cell_length_c 7.2127
_cell_angle_alpha 90.00
_cell_angle_beta 90.00
_cell_angle_gamma 90.00
loop_
_atom_site_label
_atom_site_type_symbol
_atom_site_fract_x
_atom_site_fract_y
_atom_site_fract_z
Ac1 Ac 0.0000 0.0000 0.0000
Ni1 Ni 0.2500 0.2500 0.7500
Ge1 Ge 0.2500 0.2500 0.2500
Sb1 Sb 0.0000 0.0000 0.5000

---

(6)
# V3CdC | the Alexandria database | PBE | relaxed
# **ΔH_f (0 K)**: -0.0733 eV per atom
# **Energy**: -37.86 eV for the cell shown
# **Energy above the most stable polymorph in this dataset**: 0 meV per atom
data_V3CdC
_chemical_formula_sum 'V3 Cd1 C1'
_symmetry_space_group_name_H-M 'P m -3 m'
_symmetry_Int_Tables_number 221
_symmetry_space_group_name_Hall '-P 4 2 3'
_cell_length_a 4.0553
_cell_length_b 4.0553
_cell_length_c 4.0553
_cell_angle_alpha 90.00
_cell_angle_beta 90.00
_cell_angle_gamma 90.00
loop_
_atom_site_label
_atom_site_type_symbol
_atom_site_fract_x
_atom_site_fract_y
_atom_site_fract_z
V1 V 0.0000 0.0000 0.5000
Cd1 Cd 0.5000 0.5000 0.5000
C1 C 0.0000 0.0000 0.0000

---

no.,spin magnetization (μB per formula unit),calculated density (g/cm3)
1,1.094,5.41
2,0.000,12.82
3,0.000,3.96
4,0.000,12.10
5,0.000,8.50
6,0.001,6.90